No. 1
! Ba2TeMo (PBE-GGA, relaxed); values from VASP
! Formation energy from raw total energies   0.363 eV per atom
&SYSTEM
  ibrav = 0, nat = 8, ntyp = 3
/
ATOMIC_SPECIES
Ba 137.33 Ba.upf
Te 127.60 Te.upf
Mo 95.94 Mo.upf
CELL_PARAMETERS angstrom
-4.530 4.530 4.251
4.530 -4.530 4.251
4.530 4.530 -4.251
ATOMIC_POSITIONS crystal
Ba 0.125 0.625 0.000
Ba 0.375 0.375 0.500
Ba 0.625 0.125 0.000
Ba 0.875 0.875 0.500
Te 0.000 0.000 0.000
Te 0.750 0.250 0.500
Mo 0.250 0.750 0.500
Mo 0.500 0.500 0.000



No. 2
! BaTeMo2 (PBE-GGA, relaxed); values from VASP
! Formation energy from raw total energies   0.987 eV per atom
&SYSTEM
  ibrav = 0, nat = 4, ntyp = 3
/
ATOMIC_SPECIES
Ba 137.33 Ba.upf
Te 127.60 Te.upf
Mo 95.94 Mo.upf
CELL_PARAMETERS angstrom
-2.558 2.558 3.596
2.558 -2.558 3.596
2.558 2.558 -3.596
ATOMIC_POSITIONS crystal
Ba 0.000 0.000 0.000
Te 0.750 0.250 0.500
Mo 0.250 0.750 0.500
Mo 0.500 0.500 0.000



No. 3
! BaTeMo2 (PBE-GGA, relaxed); values from VASP
! Formation energy from raw total energies   0.320 eV per atom
&SYSTEM
  ibrav = 0, nat = 4, ntyp = 3
/
ATOMIC_SPECIES
Ba 137.33 Ba.upf
Te 127.60 Te.upf
Mo 95.94 Mo.upf
CELL_PARAMETERS angstrom
3.443 0.000 0.000
0.000 4.170 0.000
-0.024 0.000 7.288
ATOMIC_POSITIONS crystal
Ba 0.000 0.000 0.000
Te 0.498 0.500 0.689
Mo 0.498 0.000 0.420
Mo 0.996 0.500 0.395



No. 4
! BaTeMo (PBE-GGA, relaxed); values from VASP
! Energy above the lowest structure with this stoichiometry   377 meV/atom
! Formation energy from raw total energies   0.158 eV per atom
&SYSTEM
  ibrav = 0, nat = 3, ntyp = 3
/
ATOMIC_SPECIES
Ba 137.33 Ba.upf
Te 127.60 Te.upf
Mo 95.94 Mo.upf
CELL_PARAMETERS angstrom
4.656 0.000 0.000
-2.328 4.032 0.000
0.000 0.000 5.025
ATOMIC_POSITIONS crystal
Ba 0.000 0.000 0.000
Te 0.667 0.333 0.500
Mo 0.333 0.667 0.500



No. 5
! BaTeMo3 (PBE-GGA, relaxed); values from VASP
! Energy above the lowest structure with this stoichiometry   0 meV/atom
! Formation energy from raw total energies   1.531 eV per atom
&SYSTEM
  ibrav = 0, nat = 5, ntyp = 3
/
ATOMIC_SPECIES
Ba 137.33 Ba.upf
Te 127.60 Te.upf
Mo 95.94 Mo.upf
CELL_PARAMETERS angstrom
5.077 0.000 0.000
0.000 5.077 0.000
0.000 0.000 5.077
ATOMIC_POSITIONS crystal
Ba 0.000 0.000 0.000
Te 0.500 0.500 0.500
Mo 0.000 0.500 0.500
Mo 0.500 0.000 0.500
Mo 0.500 0.500 0.000



No. 6
! BaTe2Mo (PBE-GGA, relaxed); values from VASP
! Energy above the lowest structure with this stoichiometry   161 meV/atom
! Formation energy from raw total energies   -0.324 eV per atom
&SYSTEM
  ibrav = 0, nat = 4, ntyp = 3
/
ATOMIC_SPECIES
Ba 137.33 Ba.upf
Te 127.60 Te.upf
Mo 95.94 Mo.upf
CELL_PARAMETERS angstrom
5.549 0.000 0.000
0.000 5.549 0.000
0.000 0.000 4.589
ATOMIC_POSITIONS crystal
Ba 0.000 0.000 0.000
Te 0.000 0.500 0.501
Te 0.500 0.000 0.501
Mo 0.500 0.500 0.638